[1]
! Pm4SiP2Cl PBE optimized geometry; values from VASP
&SYSTEM
  ibrav = 0, nat = 8, ntyp = 4
/
ATOMIC_SPECIES
Pm 145.00 Pm.upf
Si 28.09 Si.upf
P 30.97 P.upf
Cl 35.45 Cl.upf
ATOMIC_POSITIONS crystal
Pm 0.233 0.000 0.232
Pm 0.248 0.500 0.758
Pm 0.752 0.500 0.242
Pm 0.767 0.000 0.768
Si 0.000 0.000 0.500
P 0.000 0.500 0.000
P 0.500 0.000 0.000
Cl 0.500 0.500 0.500
CELL_PARAMETERS angstrom
7.184 0.000 0.000
0.000 4.142 0.000
-2.343 0.000 6.808
! DOS at the Fermi energy	2.53	states/eV per cell
! uncorrected formation energy	-1.40	eV per atom

[2]
! La4Tb5Th2 PBE optimized geometry; values from VASP
&SYSTEM
  ibrav = 0, nat = 11, ntyp = 3
/
ATOMIC_SPECIES
La 138.91 La.upf
Tb 158.93 Tb.upf
Th 232.04 Th.upf
ATOMIC_POSITIONS crystal
La 0.085 0.085 0.211
La 0.271 0.271 0.679
La 0.729 0.729 0.321
La 0.915 0.915 0.789
Tb 0.000 0.000 0.500
Tb 0.179 0.179 0.948
Tb 0.365 0.365 0.404
Tb 0.635 0.635 0.596
Tb 0.821 0.821 0.052
Th 0.454 0.454 0.140
Th 0.546 0.546 0.860
CELL_PARAMETERS angstrom
11.870 -1.814 0.000
11.870 1.814 0.000
-2.083 0.000 8.639
! DOS at the Fermi energy	16.42	states/eV per cell
! energy of formation from the pure elements	0.0310	eV/atom